KBaLaMnO6 | PBE with a Hubbard U | optimized geometry

The structure in POSCAR format:
```
KBaLaMnO6
1.0
-0.256 -3.184 5.142
-0.496 2.863 5.310
-5.176 -0.292 3.124
O K Mn Ba La
6 1 1 1 1
direct
0.276 0.276 0.724
0.724 0.724 0.276
0.724 0.276 0.724
0.724 0.276 0.276
0.276 0.724 0.276
0.276 0.724 0.724
0.250 0.250 0.250
0.500 0.500 0.500
0.750 0.750 0.750
0.000 0.000 0.000
```

Values from the calculation:
Raw total energy, eV per formula unit: -64.81
Calculated density, Mg/m³: 4.94
SG: F-43m
Magnetization, μB per formula unit: 5.025